A geometry-optimized Sm2DyAl6 structure. Source: Alexandria, functional PBE.

Unit cell a=8.026 b=8.026 c=8.026 alpha=147.97 beta=126.82 gamma=63.44
Fractional coordinates of all 9 atoms:
Sm  0.124  0.124  0.000
Sm  0.876  0.876  0.000
Dy  0.500  0.000  0.500
Al  0.125  0.317  0.809
Al  0.191  0.500  0.691
Al  0.492  0.683  0.809
Al  0.508  0.317  0.191
Al  0.809  0.500  0.309
Al  0.875  0.683  0.191

Calculated values
magnetization = 0.00 Bohr magnetons per cell
electronic total energy = -4.268 eV/atom
E above lowest polymorph = 0.274 eV per atom
E_form = -0.2133 eV per atom
DOS at the Fermi energy = 5.44 states/eV/f.u.

***

A geometry-optimized Sm3DyAl3 structure. Source: Alexandria, functional PBE.

Unit cell a=7.368 b=7.368 c=6.989 alpha=90.00 beta=90.00 gamma=91.04
Fractional coordinates of all 14 atoms:
Sm  0.232  0.232  0.500
Sm  0.246  0.754  0.000
Sm  0.248  0.248  0.000
Sm  0.752  0.752  0.000
Sm  0.754  0.246  0.000
Sm  0.768  0.768  0.500
Dy  0.249  0.751  0.500
Dy  0.751  0.249  0.500
Al  0.000  0.500  0.258
Al  0.000  0.500  0.742
Al  0.500  0.000  0.258
Al  0.500  0.000  0.742
Al  0.500  0.500  0.266
Al  0.500  0.500  0.734

Calculated values
magnetization = 0.00 Bohr magnetons per cell
electronic total energy = -4.538 eV/atom
E_form = -0.2542 eV per atom
DOS at the Fermi energy = 4.63 states/eV/f.u.

***

A geometry-optimized Sm2Dy3Al2 structure. Source: Alexandria, functional PBE.

Unit cell a=5.312 b=5.312 c=8.484 alpha=108.31 beta=108.31 gamma=60.09
Fractional coordinates of all 7 atoms:
Sm  0.085  0.085  0.253
Sm  0.915  0.915  0.747
Dy  0.348  0.348  0.043
Dy  0.500  0.500  0.500
Dy  0.652  0.652  0.957
Al  0.219  0.219  0.658
Al  0.781  0.781  0.342

Calculated values
magnetization = 0.00 Bohr magnetons per cell
electronic total energy = -4.587 eV/atom
E_form = -0.1968 eV per atom
DOS at the Fermi energy = 4.25 states/eV/f.u.